Below is an optimized crystal structure of MoAsIrBr2, with properties calculated at the PBE-GGA level.

a b c (Å): 4.950 4.950 4.997
angles (deg): 90.00 90.00 90.00
Atoms (fractional coordinates):
Mo1 0.000 0.000 0.000
As1 0.000 0.000 0.500
Ir1 0.500 0.500 0.500
Br1 0.000 0.500 0.000
Br2 0.500 0.000 0.000

excess energy over the best structure of this formula in the dataset: 283 meV/atom
crystal system: tetragonal
ΔE_f (raw): 1.30 eV per atom
DOS at the Fermi energy: 9.253 states/eV per cell
calculated total energy: -4.239 eV/atom

***

Below is an optimized crystal structure of Cs4SiSe4, with properties calculated at the PBE-GGA level.

a b c (Å): 10.012 10.012 7.503
angles (deg): 90.00 90.00 90.00
Atoms (fractional coordinates):
Cs1 0.026 0.250 0.092
Cs2 0.250 0.026 0.592
Cs3 0.250 0.474 0.592
Cs4 0.474 0.250 0.092
Cs5 0.526 0.750 0.908
Cs6 0.750 0.526 0.408
Cs7 0.750 0.974 0.408
Cs8 0.974 0.750 0.908
Si1 0.250 0.750 0.250
Si2 0.750 0.250 0.750
Se1 0.057 0.750 0.420
Se2 0.250 0.557 0.080
Se3 0.250 0.943 0.080
Se4 0.443 0.750 0.420
Se5 0.557 0.250 0.580
Se6 0.750 0.057 0.920
Se7 0.750 0.443 0.920
Se8 0.943 0.250 0.580

excess energy over the best structure of this formula in the dataset: 16 meV/atom
crystal system: tetragonal
ΔE_f (raw): -1.09 eV per atom
DOS at the Fermi energy: 0.000 states/eV per cell
calculated total energy: -3.623 eV/atom

***

Below is an optimized crystal structure of SrUS2F, with properties calculated at the PBE-GGA level.

a b c (Å): 3.963 3.963 13.811
angles (deg): 90.00 90.00 90.00
Atoms (fractional coordinates):
Sr1 0.250 0.250 0.108
Sr2 0.750 0.750 0.892
U1 0.250 0.250 0.608
U2 0.750 0.750 0.392
S1 0.250 0.250 0.404
S2 0.250 0.250 0.793
S3 0.750 0.750 0.207
S4 0.750 0.750 0.596
F1 0.250 0.750 0.000
F2 0.750 0.250 0.000

crystal system: tetragonal
ΔE_f (raw): -2.28 eV per atom
DOS at the Fermi energy: 9.393 states/eV per cell
calculated total energy: -6.904 eV/atom

***

Below is an optimized crystal structure of LaRe2Pt, with properties calculated at the PBE-GGA level.

a b c (Å): 3.360 3.360 7.051
angles (deg): 90.00 90.00 90.00
Atoms (fractional coordinates):
La1 0.000 0.000 0.000
Re1 0.500 0.500 0.322
Re2 0.500 0.500 0.678
Pt1 0.000 0.000 0.500

E_form: 2.0 eV/f.u.
excess energy over the best structure of this formula in the dataset: 529 meV/atom
crystal system: tetragonal
DOS at the Fermi energy: 3.318 states/eV per cell
calculated total energy: -8.469 eV/atom

***

Below is an optimized crystal structure of Sc2TlPt, with properties calculated at the PBE-GGA level.

a b c (Å): 3.753 3.753 6.228
angles (deg): 90.00 90.00 90.00
Atoms (fractional coordinates):
Sc1 0.000 0.000 0.000
Sc2 0.500 0.500 0.302
Tl1 0.000 0.000 0.535
Pt1 0.500 0.500 0.868

E_form: -2.1 eV/f.u.
crystal system: tetragonal
DOS at the Fermi energy: 3.273 states/eV per cell
calculated total energy: -5.784 eV/atom

***

Below is an optimized crystal structure of LiYC, with properties calculated at the PBE-GGA level.

a b c (Å): 8.545 3.900 5.715
angles (deg): 90.00 90.00 90.00
Atoms (fractional coordinates):
Li1 0.055 0.250 0.061
Li2 0.445 0.750 0.561
Li3 0.555 0.250 0.439
Li4 0.945 0.750 0.939
Y1 0.158 0.250 0.523
Y2 0.342 0.750 0.023
Y3 0.658 0.250 0.977
Y4 0.842 0.750 0.477
C1 0.104 0.750 0.269
C2 0.396 0.250 0.769
C3 0.604 0.750 0.231
C4 0.896 0.250 0.731

E_form: -0.3 eV/f.u.
excess energy over the best structure of this formula in the dataset: 50 meV/atom
crystal system: orthorhombic
DOS at the Fermi energy: 0.000 states/eV per cell
calculated total energy: -5.952 eV/atom

***

Below is an optimized crystal structure of Li2OsW, with properties calculated at the PBE-GGA level.

a b c (Å): 4.141 4.141 4.141
angles (deg): 60.00 60.00 60.00
Atoms (fractional coordinates):
Li1 0.250 0.250 0.250
Li2 0.750 0.750 0.750
Os1 0.000 0.000 0.000
W1 0.500 0.500 0.500

E_form: 3.4 eV/f.u.
excess energy over the best structure of this formula in the dataset: 670 meV/atom
crystal system: cubic
DOS at the Fermi energy: 4.531 states/eV per cell
calculated total energy: -6.145 eV/atom

***

Below is an optimized crystal structure of La7TbSm2, with properties calculated at the PBE-GGA level.

a b c (Å): 9.340 9.340 5.659
angles (deg): 90.00 90.00 122.38
Atoms (fractional coordinates):
La1 0.000 0.000 0.000
La2 0.201 0.428 0.000
La3 0.262 0.738 0.500
La4 0.428 0.201 0.000
La5 0.572 0.799 0.000
La6 0.738 0.262 0.500
La7 0.799 0.572 0.000
Tb1 0.500 0.500 0.500
Sm1 0.202 0.798 0.000
Sm2 0.798 0.202 0.000

E_form: 5.7 eV/f.u.
excess energy over the best structure of this formula in the dataset: 253 meV/atom
crystal system: orthorhombic
DOS at the Fermi energy: 18.169 states/eV per cell
calculated total energy: -4.285 eV/atom

***

Below is an optimized crystal structure of Cs2Na9Sr, with properties calculated at the PBE-GGA level.

a b c (Å): 12.807 12.807 12.807
angles (deg): 33.74 33.74 33.74
Atoms (fractional coordinates):
Cs1 0.138 0.138 0.138
Cs2 0.862 0.862 0.862
Na1 0.078 0.576 0.576
Na2 0.333 0.333 0.333
Na3 0.424 0.424 0.922
Na4 0.424 0.922 0.424
Na5 0.500 0.500 0.500
Na6 0.576 0.078 0.576
Na7 0.576 0.576 0.078
Na8 0.667 0.667 0.667
Na9 0.922 0.424 0.424
Sr1 0.000 0.000 0.000

E_form: 0.5 eV/f.u.
crystal system: trigonal
DOS at the Fermi energy: 9.138 states/eV per cell
calculated total energy: -1.234 eV/atom

***

Below is an optimized crystal structure of PrDyAgSb, with properties calculated at the PBE-GGA level.

a b c (Å): 5.323 5.323 5.323
angles (deg): 60.00 60.00 60.00
Atoms (fractional coordinates):
Pr1 0.000 0.000 0.000
Dy1 0.500 0.500 0.500
Ag1 0.750 0.750 0.750
Sb1 0.250 0.250 0.250

crystal system: cubic
ΔE_f (raw): -0.56 eV per atom
DOS at the Fermi energy: 4.707 states/eV per cell
calculated total energy: -4.652 eV/atom

***

Below is an optimized crystal structure of Cs2MnCrRu, with properties calculated at the PBE-GGA level.

a b c (Å): 6.609 6.609 3.909
angles (deg): 90.00 90.00 90.00
Atoms (fractional coordinates):
Cs1 0.000 0.500 0.000
Cs2 0.500 0.000 0.000
Mn1 0.000 0.000 0.000
Cr1 0.000 0.000 0.500
Ru1 0.500 0.500 0.500

E_form: 10.8 eV/f.u.
crystal system: tetragonal
DOS at the Fermi energy: 10.256 states/eV per cell
calculated total energy: -3.799 eV/atom

***

Below is an optimized crystal structure of Nd6ZnTc2, with properties calculated at the PBE-GGA level.

a b c (Å): 8.736 8.736 8.736
angles (deg): 111.25 110.78 106.43
Atoms (fractional coordinates):
Nd1 0.018 0.226 0.792
Nd2 0.188 0.283 0.471
Nd3 0.188 0.717 0.905
Nd4 0.316 0.026 0.711
Nd5 0.316 0.605 0.289
Nd6 0.434 0.226 0.208
Nd7 0.566 0.774 0.792
Nd8 0.684 0.395 0.711
Nd9 0.684 0.974 0.289
Nd10 0.812 0.283 0.095
Nd11 0.812 0.717 0.529
Nd12 0.982 0.774 0.208
Zn1 0.000 0.000 0.000
Zn2 0.500 0.500 0.000
Tc1 0.113 0.613 0.500
Tc2 0.378 0.000 0.378
Tc3 0.622 0.000 0.622
Tc4 0.887 0.387 0.500

E_form: -0.2 eV/f.u.
crystal system: orthorhombic
DOS at the Fermi energy: 18.459 states/eV per cell
calculated total energy: -5.641 eV/atom

***

Below is an optimized crystal structure of Rb2Cd3Hg4Pb, with properties calculated at the PBE-GGA level.

a b c (Å): 5.286 5.286 11.693
angles (deg): 90.00 90.00 90.00
Atoms (fractional coordinates):
Rb1 0.000 0.500 0.244
Rb2 0.500 0.000 0.756
Cd1 0.000 0.500 0.881
Cd2 0.500 0.000 0.119
Cd3 0.500 0.500 0.500
Hg1 0.000 0.000 0.000
Hg2 0.000 0.500 0.633
Hg3 0.500 0.000 0.367
Hg4 0.500 0.500 0.000
Pb1 0.000 0.000 0.500

E_form: -1.3 eV/f.u.
crystal system: tetragonal
DOS at the Fermi energy: 4.636 states/eV per cell
calculated total energy: -1.088 eV/atom

***

Below is an optimized crystal structure of RbZnTe2Au, with properties calculated at the PBE-GGA level.

a b c (Å): 7.944 7.944 7.276
angles (deg): 90.00 90.00 130.79
Atoms (fractional coordinates):
Rb1 0.250 0.750 0.762
Rb2 0.750 0.250 0.238
Zn1 0.250 0.250 0.500
Zn2 0.750 0.750 0.500
Te1 0.106 0.894 0.292
Te2 0.394 0.606 0.292
Te3 0.606 0.394 0.708
Te4 0.894 0.106 0.708
Au1 0.000 0.000 0.000
Au2 0.500 0.500 0.000

crystal system: orthorhombic
ΔE_f (raw): -0.56 eV per atom
DOS at the Fermi energy: 0.000 states/eV per cell
calculated total energy: -2.922 eV/atom

***

Below is an optimized crystal structure of Tb2Sm2Y7, with properties calculated at the PBE-GGA level.

a b c (Å): 6.529 6.529 8.748
angles (deg): 98.12 98.12 93.43
Atoms (fractional coordinates):
Tb1 0.105 0.105 0.355
Tb2 0.895 0.895 0.645
Sm1 0.176 0.824 0.000
Sm2 0.824 0.176 0.000
Y1 0.055 0.419 0.708
Y2 0.351 0.351 0.094
Y3 0.419 0.055 0.708
Y4 0.500 0.500 0.500
Y5 0.581 0.945 0.292
Y6 0.649 0.649 0.906
Y7 0.945 0.581 0.292

E_form: 1.2 eV/f.u.
excess energy over the best structure of this formula in the dataset: 0 meV/atom
crystal system: monoclinic
DOS at the Fermi energy: 18.289 states/eV per cell
calculated total energy: -5.709 eV/atom

***

Below is an optimized crystal structure of Pr2FeGe3, with properties calculated at the PBE-GGA level.

a b c (Å): 8.493 8.481 6.019
angles (deg): 69.34 69.12 41.54
Atoms (fractional coordinates):
Pr1 0.245 0.755 0.245
Pr2 0.250 0.250 0.250
Pr3 0.750 0.750 0.750
Pr4 0.755 0.245 0.755
Fe1 0.334 0.334 0.666
Fe2 0.666 0.666 0.334
Ge1 0.174 0.174 0.826
Ge2 0.176 0.651 0.824
Ge3 0.349 0.824 0.651
Ge4 0.651 0.176 0.349
Ge5 0.824 0.349 0.176
Ge6 0.826 0.826 0.174

E_form: -3.5 eV/f.u.
crystal system: orthorhombic
DOS at the Fermi energy: 7.338 states/eV per cell
calculated total energy: -5.896 eV/atom

***

Below is an optimized crystal structure of NaGeSe, with properties calculated at the PBE-GGA level.

a b c (Å): 5.400 5.400 5.400
angles (deg): 135.40 135.40 64.91
Atoms (fractional coordinates):
Na1 0.000 0.000 0.000
Ge1 0.335 0.335 0.000
Se1 0.594 0.594 0.000

excess energy over the best structure of this formula in the dataset: 0 meV/atom
crystal system: tetragonal
ΔE_f (raw): -0.21 eV per atom
DOS at the Fermi energy: 1.139 states/eV per cell
calculated total energy: -3.350 eV/atom

***

Below is an optimized crystal structure of Be2SiMo2, with properties calculated at the PBE-GGA level.

a b c (Å): 5.926 5.926 3.315
angles (deg): 90.00 90.00 90.00
Atoms (fractional coordinates):
Be1 0.120 0.380 0.000
Be2 0.380 0.880 0.000
Be3 0.620 0.120 0.000
Be4 0.880 0.620 0.000
Si1 0.000 0.000 0.000
Si2 0.500 0.500 0.000
Mo1 0.179 0.679 0.500
Mo2 0.321 0.179 0.500
Mo3 0.679 0.821 0.500
Mo4 0.821 0.321 0.500

crystal system: tetragonal
ΔE_f (raw): -0.25 eV per atom
DOS at the Fermi energy: 10.169 states/eV per cell
calculated total energy: -7.159 eV/atom

***

Below is an optimized crystal structure of ScPaHgO6, with properties calculated at the PBE-GGA level.

a b c (Å): 5.458 5.458 4.903
angles (deg): 90.00 90.00 120.00
Atoms (fractional coordinates):
Sc1 0.000 0.000 0.000
Pa1 0.333 0.667 0.500
Hg1 0.667 0.333 0.000
O1 0.014 0.330 0.244
O2 0.014 0.684 0.756
O3 0.316 0.330 0.756
O4 0.316 0.986 0.244
O5 0.670 0.684 0.244
O6 0.670 0.986 0.756

crystal system: trigonal
ΔE_f (raw): -2.18 eV per atom
DOS at the Fermi energy: 3.826 states/eV per cell
calculated total energy: -7.275 eV/atom

***

Below is an optimized crystal structure of YCdIn, with properties calculated at the PBE-GGA level.

a b c (Å): 4.692 4.565 7.466
angles (deg): 90.00 108.21 90.00
Atoms (fractional coordinates):
Y1 0.157 0.000 0.312
Y2 0.843 0.000 0.688
Cd1 0.328 0.500 0.657
Cd2 0.672 0.500 0.343
In1 0.000 0.500 0.000
In2 0.500 0.000 0.000

E_form: -1.1 eV/f.u.
crystal system: monoclinic
DOS at the Fermi energy: 3.560 states/eV per cell
calculated total energy: -3.733 eV/atom

***

Below is an optimized crystal structure of CrSnPd2Se, with properties calculated at the PBE-GGA level.

a b c (Å): 4.904 4.904 4.946
angles (deg): 90.00 90.00 90.00
Atoms (fractional coordinates):
Cr1 0.000 0.000 0.000
Sn1 0.000 0.000 0.500
Pd1 0.000 0.500 0.500
Pd2 0.500 0.000 0.500
Se1 0.500 0.500 0.000

crystal system: tetragonal
ΔE_f (raw): 1.11 eV per atom
DOS at the Fermi energy: 9.764 states/eV per cell
calculated total energy: -4.386 eV/atom

***

Below is an optimized crystal structure of AcPrSb4, with properties calculated at the PBE-GGA level.

a b c (Å): 6.393 6.393 6.393
angles (deg): 60.00 60.00 60.00
Atoms (fractional coordinates):
Ac1 0.000 0.000 0.000
Pr1 0.750 0.750 0.750
Sb1 0.375 0.375 0.375
Sb2 0.375 0.375 0.874
Sb3 0.375 0.874 0.375
Sb4 0.874 0.375 0.375

crystal system: cubic
ΔE_f (raw): -0.38 eV per atom
DOS at the Fermi energy: 4.763 states/eV per cell
calculated total energy: -4.611 eV/atom

***

Below is an optimized crystal structure of Li2Ac3Pd6Au, with properties calculated at the PBE-GGA level.

a b c (Å): 5.874 5.874 8.952
angles (deg): 90.00 90.00 120.00
Atoms (fractional coordinates):
Li1 0.333 0.667 0.014
Li2 0.667 0.333 0.986
Ac1 0.000 0.000 0.000
Ac2 0.333 0.667 0.610
Ac3 0.667 0.333 0.390
Pd1 0.176 0.352 0.262
Pd2 0.176 0.824 0.262
Pd3 0.352 0.176 0.738
Pd4 0.648 0.824 0.262
Pd5 0.824 0.176 0.738
Pd6 0.824 0.648 0.738
Au1 0.000 0.000 0.500

E_form: -7.7 eV/f.u.
crystal system: trigonal
DOS at the Fermi energy: 3.476 states/eV per cell
calculated total energy: -4.860 eV/atom

***

Below is an optimized crystal structure of Al2Tl, with properties calculated at the PBE-GGA level.

a b c (Å): 4.729 4.729 4.729
angles (deg): 60.00 60.00 60.00
Atoms (fractional coordinates):
Al1 0.250 0.250 0.250
Al2 0.750 0.750 0.750
Tl1 0.000 0.000 0.000

E_form: 1.4 eV/f.u.
excess energy over the best structure of this formula in the dataset: 301 meV/atom
crystal system: cubic
DOS at the Fermi energy: 1.843 states/eV per cell
calculated total energy: -2.806 eV/atom